Material: TcIrW2
Method: DFT, PBEsol
State: relaxed

Lattice parameters (Å, degrees): 2.756 3.877 5.560 90.00 90.00 90.00
Space group Pmmm (No. 47)
One atom of each set of equivalent atoms:
Tc1 0.000 0.000 0.000
Ir1 0.000 0.000 0.500
W1 0.500 0.500 0.248

## Properties
As for the total energy: -12.21 eV/atom. The crystal system is orthorhombic.